# PBE with a Hubbard U Sr2CrInO6, optimized geometry
# Volume   521.30 Å³ per cell
# Uncorrected energy   -6.304 eV/atom
# M_tot   0.0991 μB/atom
data_Sr2CrInO6
_cell_length_a 8.048
_cell_length_b 8.048
_cell_length_c 8.048
_cell_angle_alpha 90.00
_cell_angle_beta 90.00
_cell_angle_gamma 90.00
_space_group_name_H-M_alt 'F m -3 m'
_space_group_IT_number 225
_space_group_name_Hall '-F 4 2 3'
loop_
_atom_site_label
_atom_site_fract_x
_atom_site_fract_y
_atom_site_fract_z
Sr1 0.250 0.250 0.250
Cr1 0.000 0.000 0.000
In1 0.000 0.000 0.500
O1 0.000 0.000 0.235